(1)
Computed, not measured: CaSc2AsPb after structural relaxation at the PBE level of DFT.

Computed properties:
* crystal system: tetragonal
* N(E_F): 1.0813 states/eV per atom
* DFT total energy: -21.9 eV/cell
* calculated formation energy: 112 kJ/mol of formula units

Unit cell a=5.3840 b=5.7362 c=5.3840 alpha=90.00 beta=90.00 gamma=90.00
With the nearest neighbours (Å) after each atom.
Atoms (fractional coordinates):
Sc 0.5000 0.0000 0.0000  2 Pb 2.69
Sc 0.0000 0.0000 0.5000  2 Pb 2.69
Pb 0.0000 0.0000 0.0000  4 Sc 2.69, 2 Ca 2.87
Ca 0.0000 0.5000 0.0000  2 Pb 2.87
As 0.5000 0.5000 0.5000  4 Ca 3.81, 8 Sc 3.93


(2)
Computed, not measured: Hf2CoAu after structural relaxation at the PBE level of DFT.

Computed properties:
* crystal system: monoclinic
* N(E_F): 0.6391 states/eV per atom
* DFT total energy: -64.2 eV/cell
* calculated formation energy: -177 kJ/mol of formula units
* energy above the lowest structure with this stoichiometry: 0 meV/atom

Unit cell a=4.2285 b=6.7067 c=6.7935 alpha=131.25 beta=90.00 gamma=90.00
With the nearest neighbours (Å) after each atom.
Atoms (fractional coordinates):
Co 0.2500 0.3294 0.6272  6 Hf 2.57-2.72, 2 Au 2.80
Co 0.7500 0.6706 0.3728  6 Hf 2.57-2.72, 2 Au 2.80
Hf 0.7500 0.2489 0.3373  3 Co 2.68-2.69, 4 Au 2.87-2.92
Hf 0.2500 0.7511 0.6627  3 Co 2.68-2.69, 4 Au 2.87-2.92
Hf 0.2500 0.8240 0.2483  3 Co 2.57-2.72, 3 Au 2.82-2.86
Hf 0.7500 0.1760 0.7517  3 Co 2.57-2.72, 3 Au 2.82-2.86
Au 0.2500 0.3123 0.0969  2 Co 2.80, 7 Hf 2.82-2.92
Au 0.7500 0.6877 0.9031  2 Co 2.80, 7 Hf 2.82-2.92